Entry from Alexandria: crystalline Cs2RbTmBr6 at its relaxed geometry (GGA-PBE).

Unit cell a=8.1309 b=12.0648 c=9.2271 alpha=90.00 beta=90.00 gamma=90.00
Last column: nearest neighbours and their distance in Å.
Space group Pmmn (No. 59, origin choice 2)
One atom of each set of equivalent atoms:
Cs1 0.2500 0.0337 0.1887  7 Br 3.70-4.07
Rb1 0.2500 0.2500 0.7001  6 Br 3.37-3.41
Tm1 0.2500 0.7500 0.7922  6 Br 2.75-2.79
Br1 0.0009 0.7500 0.5903  1 Tm 2.75
Br2 0.0154 0.7500 0.0132  1 Tm 2.79
Br3 0.2500 0.5202 0.7938  1 Tm 2.77

Summary:
Theoretical density, g cm⁻³: 3.67
Density of states at the Fermi level, states/eV/cell: 0.0
E_form (uncorrected), eV/atom: -1.85
E, eV/cell: -71.40

***

Entry from Alexandria: crystalline Cs3Rb3TmBr8 at its relaxed geometry (GGA-PBE).

Unit cell a=10.0330 b=10.0330 c=25.4592 alpha=90.00 beta=90.00 gamma=120.00
Last column: nearest neighbours and their distance in Å.
Space group R-3m (No. 166, hexagonal axes)
One atom of each set of equivalent atoms:
Cs1 0.0000 0.5000 0.0000  6 Br 3.67-3.74
Rb1 0.0000 0.5000 0.5000  6 Br 3.51-3.61
Tm1 0.0000 0.0000 0.5000  6 Br 2.81
Br1 0.0000 0.0000 0.2447  3 Rb 3.51, 3 Cs 3.67
Br2 0.0673 0.5336 0.2298  1 Tm 2.81

Summary:
Theoretical density, g cm⁻³: 3.28
Density of states at the Fermi level, states/eV/cell: 15.4
E_form (uncorrected), eV/atom: -1.70
E, eV/cell: -146.24